Material: Tb2CeP
Method: DFT, PBE
State: relaxed

Properties
VASP energy: -0.413 Ry per atom
Space-group type: R-3m

Cell lengths 10.464, 10.464, 10.464 Å; angles 20.50, 20.50, 20.50 degrees
Atoms (fractional coordinates):
1 Tb 0.113 0.113 0.113
2 Tb 0.887 0.887 0.887
3 Ce 0.000 0.000 0.000
4 P 0.500 0.500 0.500

***

Material: KCuBiCl6
Method: DFT, PBE
State: relaxed

Properties
VASP energy: -0.241 Ry per atom
Space-group type: P1

Cell lengths 6.725, 6.740, 6.949 Å; angles 92.95, 93.12, 115.39 degrees
Atoms (fractional coordinates):
1 K 0.000 0.000 0.000
2 Cu 0.684 0.319 0.499
3 Bi 0.338 0.664 0.501
4 Cl 0.017 0.625 0.249
5 Cl 0.380 0.980 0.758
6 Cl 0.419 0.339 0.286
7 Cl 0.655 0.005 0.321
8 Cl 0.662 0.579 0.715
9 Cl 0.998 0.346 0.679

***

Material: NaCa2Zn
Method: DFT, PBE
State: relaxed

Properties
VASP energy: -0.122 Ry per atom
Space-group type: R3m
Energy relative to the lowest polymorph listed for this composition: 0.095 eV/atom

Cell lengths 10.701, 10.701, 10.701 Å; angles 21.20, 21.20, 21.20 degrees
Atoms (fractional coordinates):
1 Na 0.000 0.000 0.000
2 Ca 0.233 0.233 0.233
3 Ca 0.435 0.435 0.435
4 Zn 0.834 0.834 0.834

***

Material: NiSbMo3
Method: DFT, PBE
State: relaxed

Properties
VASP energy: -0.451 Ry per atom
Space-group type: Pm-3m
Energy relative to the lowest polymorph listed for this composition: 1.196 eV/atom

Cell lengths 4.862, 4.862, 4.862 Å; angles 90.00, 90.00, 90.00 degrees
Atoms (fractional coordinates):
1 Ni 0.000 0.000 0.000
2 Sb 0.500 0.500 0.500
3 Mo 0.000 0.500 0.500
4 Mo 0.500 0.000 0.500
5 Mo 0.500 0.500 0.000

***

Material: Zr2SiHg
Method: DFT, PBE
State: relaxed

Properties
VASP energy: -0.444 Ry per atom
Space-group type: Pmmm

Cell lengths 3.093, 3.980, 6.435 Å; angles 90.00, 90.00, 90.00 degrees
Atoms (fractional coordinates):
1 Zr 0.000 0.000 0.234
2 Zr 0.000 0.000 0.766
3 Si 0.500 0.500 0.000
4 Hg 0.500 0.500 0.500

***

Material: LaCrCo
Method: DFT, PBE
State: relaxed

Properties
VASP energy: -0.494 Ry per atom
Space-group type: F-43m
Energy relative to the lowest polymorph listed for this composition: 0.256 eV/atom

Cell lengths 4.488, 4.488, 4.488 Å; angles 60.00, 60.00, 60.00 degrees
Atoms (fractional coordinates):
1 La 0.000 0.000 0.000
2 Cr 0.500 0.500 0.500
3 Co 0.750 0.750 0.750

***

Material: ErPa2SbN6
Method: DFT, PBE
State: relaxed

Properties
VASP energy: -0.644 Ry per atom
Space-group type: R3

Cell lengths 6.021, 6.021, 6.021 Å; angles 57.76, 57.76, 57.76 degrees
Atoms (fractional coordinates):
1 Er 0.000 0.000 0.000
2 Pa 0.279 0.279 0.279
3 Pa 0.778 0.778 0.778
4 Sb 0.489 0.489 0.489
5 N 0.099 0.666 0.390
6 N 0.198 0.590 0.859
7 N 0.390 0.099 0.666
8 N 0.590 0.859 0.198
9 N 0.666 0.390 0.099
10 N 0.859 0.198 0.590

***

Material: Pr6Dy2YEr3
Method: DFT, PBE
State: relaxed

Properties
VASP energy: -0.355 Ry per atom
Space-group type: C2/m

Cell lengths 6.300, 6.300, 11.860 Å; angles 95.07, 95.07, 119.99 degrees
Atoms (fractional coordinates):
1 Pr 0.082 0.416 0.249
2 Pr 0.250 0.250 0.751
3 Pr 0.416 0.082 0.249
4 Pr 0.584 0.918 0.751
5 Pr 0.750 0.750 0.249
6 Pr 0.918 0.584 0.751
7 Dy 0.167 0.833 0.500
8 Dy 0.833 0.167 0.500
9 Y 0.500 0.500 0.500
10 Er 0.000 0.000 0.000
11 Er 0.333 0.667 0.000
12 Er 0.667 0.333 0.000

***

Material: Mg2NbPd2
Method: DFT, PBE
State: relaxed

Properties
VASP energy: -0.366 Ry per atom
Space-group type: P4/mbm

Cell lengths 7.659, 7.659, 2.913 Å; angles 90.00, 90.00, 90.00 degrees
Atoms (fractional coordinates):
1 Mg 0.154 0.346 0.000
2 Mg 0.346 0.846 0.000
3 Mg 0.654 0.154 0.000
4 Mg 0.846 0.654 0.000
5 Nb 0.000 0.000 0.500
6 Nb 0.500 0.500 0.500
7 Pd 0.144 0.644 0.500
8 Pd 0.356 0.144 0.500
9 Pd 0.644 0.856 0.500
10 Pd 0.856 0.356 0.500

***

Material: Zr2InRu
Method: DFT, PBE
State: relaxed

Properties
VASP energy: -0.555 Ry per atom
Space-group type: P4/mmm

Cell lengths 4.511, 4.511, 3.872 Å; angles 90.00, 90.00, 90.00 degrees
Atoms (fractional coordinates):
1 Zr 0.000 0.500 0.000
2 Zr 0.500 0.000 0.000
3 In 0.000 0.000 0.500
4 Ru 0.500 0.500 0.500

***

Material: CeSc4
Method: DFT, PBE
State: relaxed

Properties
VASP energy: -0.411 Ry per atom
Space-group type: Pm-3m
Energy relative to the lowest polymorph listed for this composition: 0.628 eV/atom

Cell lengths 5.095, 5.095, 5.095 Å; angles 90.00, 90.00, 90.00 degrees
Atoms (fractional coordinates):
1 Ce 0.000 0.000 0.000
2 Sc 0.000 0.000 0.500
3 Sc 0.000 0.500 0.000
4 Sc 0.500 0.000 0.000
5 Sc 0.500 0.500 0.500

***

Material: K3AgTe2
Method: DFT, PBE
State: relaxed

Properties
VASP energy: -0.211 Ry per atom
Space-group type: Ibam

Cell lengths 9.472, 9.472, 9.472 Å; angles 131.02, 78.85, 122.47 degrees
Atoms (fractional coordinates):
1 K 0.023 0.750 0.273
2 K 0.250 0.250 0.000
3 K 0.477 0.750 0.727
4 K 0.523 0.250 0.273
5 K 0.750 0.750 0.000
6 K 0.977 0.250 0.727
7 Ag 0.000 0.500 0.500
8 Ag 0.500 0.000 0.500
9 Te 0.123 0.243 0.366
10 Te 0.377 0.743 0.121
11 Te 0.623 0.257 0.879
12 Te 0.877 0.757 0.634